No. 1
VASP calculation (PBE-GGA) on a relaxed structure of Pm2Si4Ni3Ru.

Properties
SG = P-4m2, No. 115
E_form (uncorrected) = -0.838 eV per atom

Cell: 4.0333 4.0333 9.7499 Å, 90.00 90.00 90.00°
Sites, in units of the cell vectors:
1 Pm 0.5000 0.0000 0.2408
2 Pm 0.0000 0.5000 0.7592
3 Si 0.5000 0.5000 0.0000
4 Si 0.0000 0.0000 0.0000
5 Si 0.5000 0.0000 0.6319
6 Si 0.0000 0.5000 0.3681
7 Ni 0.0000 0.0000 0.5000
8 Ni 0.5000 0.0000 0.8773
9 Ni 0.0000 0.5000 0.1227
10 Ru 0.5000 0.5000 0.5000

---

No. 2
VASP calculation (PBE-GGA) on a relaxed structure of PmSmNiRu.

Properties
SG = Amm2, No. 38
E above lowest polymorph = 0 meV/atom

Cell: 4.0455 4.0821 5.7389 Å, 90.00 110.64 90.00°
Sites, in units of the cell vectors:
1 Pm 0.1434 0.0000 0.2868
2 Sm 0.8577 0.5000 0.7155
3 Ni 0.5675 0.5000 0.1350
4 Ru 0.4314 0.0000 0.8627

---

No. 3
VASP calculation (PBE-GGA) on a relaxed structure of PmSmNiRu.

Properties
SG = F-43m, No. 216
E above lowest polymorph = 42 meV/atom

Cell: 4.9147 4.9147 4.9147 Å, 60.00 60.00 60.00°
Sites, in units of the cell vectors:
1 Ru 0.7500 0.7500 0.7500
2 Ni 0.2500 0.2500 0.2500
3 Sm 0.0000 0.0000 0.0000
4 Pm 0.5000 0.5000 0.5000

---

No. 4
VASP calculation (PBE-GGA) on a relaxed structure of PmThNiRu.

Properties
SG = F-43m, No. 216
E above lowest polymorph = 136 meV/atom

Cell: 4.9585 4.9585 4.9585 Å, 60.00 60.00 60.00°
Sites, in units of the cell vectors:
1 Ru 0.7500 0.7500 0.7500
2 Ni 0.2500 0.2500 0.2500
3 Th 0.5000 0.5000 0.5000
4 Pm 0.0000 0.0000 0.0000

---

No. 5
VASP calculation (PBE-GGA) on a relaxed structure of PmThNiRu.

Properties
SG = Amm2, No. 38
E above lowest polymorph = 0 meV/atom

Cell: 3.8882 4.0429 5.9507 Å, 90.00 109.07 90.00°
Sites, in units of the cell vectors:
1 Pm 0.1406 0.0000 0.2811
2 Th 0.8670 0.5000 0.7340
3 Ni 0.5797 0.5000 0.1594
4 Ru 0.4128 0.0000 0.8255

---

No. 6
VASP calculation (PBE-GGA) on a relaxed structure of PmTmNiRu.

Properties
SG = F-43m, No. 216
E above lowest polymorph = 28 meV/atom

Cell: 4.8298 4.8298 4.8298 Å, 60.00 60.00 60.00°
Sites, in units of the cell vectors:
1 Ru 0.7500 0.7500 0.7500
2 Tm 0.0000 0.0000 0.0000
3 Ni 0.2500 0.2500 0.2500
4 Pm 0.5000 0.5000 0.5000